Material: UZnGa2Pt2
Method: DFT, PBE
State: relaxed

Calculated values
space group: No. 164
spin magnetization: 2.3 μB per formula unit
E_tot: -5.638 eV/atom
DFT formation energy: -3.13 eV/f.u.

```
UZnGa2Pt2
1.0
4.4031 0.0000 0.0000
-2.2015 3.8132 0.0000
0.0000 0.0000 6.3794
U Zn Ga Pt
1 1 2 2
Direct
0.0000 0.0000 0.5000 U
0.0000 0.0000 0.0000 Zn
0.3333 0.6667 0.7993 Ga
0.6667 0.3333 0.2007 Ga
0.3333 0.6667 0.2395 Pt
0.6667 0.3333 0.7605 Pt
```



Material: PmPrNd2
Method: DFT, PBE
State: relaxed

Calculated values
space group: No. 160
spin magnetization: 0.0 μB per formula unit
E_tot: -4.752 eV/atom
DFT formation energy: 0.06 eV/f.u.

```
PmPrNd2
1.0
3.6935 0.0000 0.0000
1.8468 3.1987 0.0000
1.8468 1.0662 11.9850
Pm Pr Nd
1 1 2
Direct
0.6669 0.6669 0.9992 Pm
0.4999 0.4999 0.5002 Pr
0.0824 0.0824 0.7529 Nd
0.2508 0.2508 0.2476 Nd
```